{"formula": "B2OsPd", "functional": "PBE-GGA", "state": "relaxed", "e_form_ev_per_fu": 1.72, "magmom_total_mub_per_cell": 0.00, "lattice": [[0.000, 2.745, 2.745], [2.745, 0.000, 2.745], [2.745, 2.745, 0.000]], "species": ["B", "B", "Os", "Pd"], "frac_coords": [[0.250, 0.250, 0.250], [0.750, 0.750, 0.750], [0.000, 0.000, 0.000], [0.500, 0.500, 0.500]]}